1.
! PBE-GGA CeDyHgPd, optimized geometry; values from VASP
&SYSTEM
  ibrav = 0, nat = 4, ntyp = 4
/
ATOMIC_SPECIES
Ce 140.12 Ce.upf
Dy 162.50 Dy.upf
Hg 200.59 Hg.upf
Pd 106.42 Pd.upf
CELL_PARAMETERS angstrom
0.0000 3.6655 3.6655
3.6655 0.0000 3.6655
3.6655 3.6655 0.0000
ATOMIC_POSITIONS angstrom
Ce 0.0000 0.0000 0.0000
Dy 3.6655 3.6655 3.6655
Hg 1.8327 1.8327 1.8327
Pd 5.4982 5.4982 5.4982
! Total energy, eV per atom: -4.518

=====

2.
! PBE-GGA CePmDy2Hg4, optimized geometry; values from VASP
&SYSTEM
  ibrav = 0, nat = 8, ntyp = 4
/
ATOMIC_SPECIES
Ce 140.12 Ce.upf
Pm 145.00 Pm.upf
Dy 162.50 Dy.upf
Hg 200.59 Hg.upf
CELL_PARAMETERS angstrom
2.6707 1.5420 8.7187
-2.6707 1.5420 8.7187
0.0000 -3.0839 8.7187
ATOMIC_POSITIONS angstrom
Ce 0.0000 0.0000 0.0000
Pm 0.0000 0.0000 13.0780
Dy 0.0000 0.0000 6.5581
Dy 0.0000 0.0000 19.5979
Hg 0.0000 0.0000 3.2838
Hg 0.0000 0.0000 9.8269
Hg 0.0000 0.0000 16.3291
Hg 0.0000 0.0000 22.8722
! Total energy, eV per atom: -3.058

=====

3.
! PBE-GGA CePrDyHg, optimized geometry; values from VASP
&SYSTEM
  ibrav = 0, nat = 4, ntyp = 4
/
ATOMIC_SPECIES
Ce 140.12 Ce.upf
Pr 140.91 Pr.upf
Dy 162.50 Dy.upf
Hg 200.59 Hg.upf
CELL_PARAMETERS angstrom
0.0000 3.8302 3.8302
3.8302 0.0000 3.8302
3.8302 3.8302 0.0000
ATOMIC_POSITIONS angstrom
Ce 0.0000 0.0000 0.0000
Pr 5.7454 5.7454 5.7454
Dy 1.9151 1.9151 1.9151
Hg 3.8302 3.8302 3.8302
! Total energy, eV per atom: -3.899

=====

4.
! PBE-GGA CeDyHgPt, optimized geometry; values from VASP
&SYSTEM
  ibrav = 0, nat = 4, ntyp = 4
/
ATOMIC_SPECIES
Ce 140.12 Ce.upf
Dy 162.50 Dy.upf
Hg 200.59 Hg.upf
Pt 195.08 Pt.upf
CELL_PARAMETERS angstrom
0.0000 3.6496 3.6496
3.6496 0.0000 3.6496
3.6496 3.6496 0.0000
ATOMIC_POSITIONS angstrom
Ce 0.0000 0.0000 0.0000
Dy 3.6496 3.6496 3.6496
Hg 5.4744 5.4744 5.4744
Pt 1.8248 1.8248 1.8248
! Total energy, eV per atom: -4.903

=====

5.
! PBE-GGA CeDyPuHg, optimized geometry; values from VASP
&SYSTEM
  ibrav = 0, nat = 4, ntyp = 4
/
ATOMIC_SPECIES
Ce 140.12 Ce.upf
Dy 162.50 Dy.upf
Pu 244.00 Pu.upf
Hg 200.59 Hg.upf
CELL_PARAMETERS angstrom
0.0000 3.7667 3.7667
3.7667 0.0000 3.7667
3.7667 3.7667 0.0000
ATOMIC_POSITIONS angstrom
Ce 0.0000 0.0000 0.0000
Dy 3.7667 3.7667 3.7667
Pu 5.6501 5.6501 5.6501
Hg 1.8834 1.8834 1.8834
! Total energy, eV per atom: -6.325

=====

6.
! PBE-GGA CeDyHgRh, optimized geometry; values from VASP
&SYSTEM
  ibrav = 0, nat = 4, ntyp = 4
/
ATOMIC_SPECIES
Ce 140.12 Ce.upf
Dy 162.50 Dy.upf
Hg 200.59 Hg.upf
Rh 102.91 Rh.upf
CELL_PARAMETERS angstrom
0.0000 3.6196 3.6196
3.6196 0.0000 3.6196
3.6196 3.6196 0.0000
ATOMIC_POSITIONS angstrom
Ce 0.0000 0.0000 0.0000
Dy 3.6196 3.6196 3.6196
Hg 1.8098 1.8098 1.8098
Rh 5.4294 5.4294 5.4294
! Total energy, eV per atom: -5.037

=====

7.
! PBE-GGA CeDyHgSb, optimized geometry; values from VASP
&SYSTEM
  ibrav = 0, nat = 4, ntyp = 4
/
ATOMIC_SPECIES
Ce 140.12 Ce.upf
Dy 162.50 Dy.upf
Hg 200.59 Hg.upf
Sb 121.76 Sb.upf
CELL_PARAMETERS angstrom
0.0000 3.7872 3.7872
3.7872 0.0000 3.7872
3.7872 3.7872 0.0000
ATOMIC_POSITIONS angstrom
Ce 0.0000 0.0000 0.0000
Dy 3.7872 3.7872 3.7872
Hg 5.6808 5.6808 5.6808
Sb 1.8936 1.8936 1.8936
! Total energy, eV per atom: -4.324

=====

8.
! PBE-GGA CeDySiHg, optimized geometry; values from VASP
&SYSTEM
  ibrav = 0, nat = 4, ntyp = 4
/
ATOMIC_SPECIES
Ce 140.12 Ce.upf
Dy 162.50 Dy.upf
Si 28.09 Si.upf
Hg 200.59 Hg.upf
CELL_PARAMETERS angstrom
0.0000 3.6618 3.6618
3.6618 0.0000 3.6618
3.6618 3.6618 0.0000
ATOMIC_POSITIONS angstrom
Ce 0.0000 0.0000 0.0000
Dy 3.6618 3.6618 3.6618
Si 5.4926 5.4926 5.4926
Hg 1.8309 1.8309 1.8309
! Total energy, eV per atom: -4.471